one) Entry from the Alexandria database: crystalline MnAs3 at its relaxed geometry (PBE).

Calculated values
* symmetry: Pmm2 (25)

Cell lengths 3.728, 5.354, 3.917 Å; angles 90.00, 90.00, 90.00 degrees
Positions (direct):
As  0.000  0.000  0.180
As  0.500  0.000  0.604
As  0.500  0.500  0.692
Mn  0.000  0.500  0.190


two) Entry from the Alexandria database: crystalline MnAs3 at its relaxed geometry (PBE).

Calculated values
* symmetry: I4/mmm (139)

Cell lengths 10.968, 10.968, 10.968 Å; angles 160.31, 160.31, 27.99 degrees
Positions (direct):
Mn  0.656  0.656  0.000
Mn  0.344  0.344  0.000
As  0.000  0.500  0.500
As  0.500  0.000  0.500
As  0.750  0.250  0.500
As  0.250  0.750  0.500
As  0.885  0.885  0.000
As  0.115  0.115  0.000


The least stable of them is two).


one) Entry from the Alexandria database: crystalline MnAs3 at its relaxed geometry (PBE).

Calculated values
* symmetry: Pm-3n (223)

Cell lengths 5.209, 5.209, 5.209 Å; angles 90.00, 90.00, 90.00 degrees
Positions (direct):
Mn  0.000  0.000  0.000
Mn  0.500  0.500  0.500
As  0.750  0.500  0.000
As  0.250  0.500  0.000
As  0.000  0.750  0.500
As  0.000  0.250  0.500
As  0.500  0.000  0.250
As  0.500  0.000  0.750


two) Entry from the Alexandria database: crystalline MnAs3 at its relaxed geometry (PBE).

Calculated values
* symmetry: Immm (71)

Cell lengths 6.171, 6.171, 6.171 Å; angles 142.63, 147.90, 50.07 degrees
Positions (direct):
As  0.925  0.925  0.000
As  0.750  0.250  0.500
As  0.575  0.575  0.000
Mn  0.250  0.750  0.500


The least stable of them is one).


one) Entry from the Alexandria database: crystalline MnAs3 at its relaxed geometry (PBE).

Calculated values
* symmetry: Pmmn (59)

Cell lengths 3.356, 5.310, 7.898 Å; angles 90.00, 90.00, 90.00 degrees
Positions (direct):
Mn  0.000  0.440  0.000
Mn  0.500  0.560  0.500
As  0.500  0.104  0.000
As  0.000  0.896  0.500
As  0.000  0.311  0.316
As  0.000  0.311  0.684
As  0.500  0.689  0.816
As  0.500  0.689  0.184


two) Entry from the Alexandria database: crystalline MnAs3 at its relaxed geometry (PBE).

Calculated values
* symmetry: Imm2 (44)

Cell lengths 2.851, 4.922, 6.423 Å; angles 112.53, 102.82, 90.00 degrees
Positions (direct):
As  0.343  0.667  0.687
As  0.500  0.465  0.000
As  0.657  0.980  0.313
Mn  0.000  0.055  0.000


three) Entry from the Alexandria database: crystalline MnAs3 at its relaxed geometry (PBE).

Calculated values
* symmetry: P4/mmm (123)

Cell lengths 4.598, 4.598, 3.397 Å; angles 90.00, 90.00, 90.00 degrees
Positions (direct):
As  0.000  0.000  0.000
As  0.500  0.000  0.500
As  0.500  0.500  0.000
Mn  0.000  0.500  0.500


four) Entry from the Alexandria database: crystalline MnAs3 at its relaxed geometry (PBE).

Calculated values
* symmetry: Cmcm (63)

Cell lengths 7.556, 7.556, 3.552 Å; angles 90.00, 90.00, 118.85 degrees
Positions (direct):
Mn  0.577  0.423  0.750
Mn  0.423  0.577  0.250
As  0.275  0.725  0.750
As  0.725  0.275  0.250
As  0.640  0.824  0.750
As  0.360  0.176  0.250
As  0.824  0.640  0.250
As  0.176  0.360  0.750


The least stable of them is three).


one) Entry from the Alexandria database: crystalline MnAs3 at its relaxed geometry (PBE).

Calculated values
* symmetry: I4/mmm (139)

Cell lengths 5.751, 5.751, 5.751 Å; angles 141.20, 141.20, 56.04 degrees
Positions (direct):
As  0.250  0.750  0.500
As  0.500  0.500  0.000
As  0.750  0.250  0.500
Mn  0.000  0.000  0.000


two) Entry from the Alexandria database: crystalline MnAs3 at its relaxed geometry (PBE).

Calculated values
* symmetry: Pm-3m (221)

Cell lengths 4.185, 4.185, 4.185 Å; angles 90.00, 90.00, 90.00 degrees
Positions (direct):
As  0.000  0.500  0.500
As  0.500  0.000  0.500
As  0.500  0.500  0.000
Mn  0.000  0.000  0.000


three) Entry from the Alexandria database: crystalline MnAs3 at its relaxed geometry (PBE).

Calculated values
* symmetry: Pm-3m (221)

Cell lengths 4.653, 4.653, 4.653 Å; angles 90.00, 90.00, 90.00 degrees
Positions (direct):
As  0.500  0.000  0.000
As  0.000  0.500  0.000
As  0.000  0.000  0.500
Mn  0.000  0.000  0.000


four) Entry from the Alexandria database: crystalline MnAs3 at its relaxed geometry (PBE).

Calculated values
* symmetry: P6_322 (182)

Cell lengths 6.153, 5.338, 5.338 Å; angles 120.00, 90.00, 90.00 degrees
Positions (direct):
Mn  0.724  0.333  0.667
Mn  0.224  0.667  0.333
As  0.474  0.303  0.000
As  0.974  0.697  0.000
As  0.974  0.000  0.697
As  0.474  0.697  0.697
As  0.474  0.000  0.303
As  0.974  0.303  0.303


The least stable of them is three).


one) Entry from the Alexandria database: crystalline Mn4As3 at its relaxed geometry (PBE).

Calculated values
* symmetry: C2/m (12)

Cell lengths 6.741, 6.741, 9.375 Å; angles 76.71, 76.71, 30.41 degrees
Positions (direct):
As  0.063  0.063  0.727
As  0.937  0.937  0.273
As  0.186  0.186  0.347
As  0.814  0.814  0.653
As  0.363  0.363  0.979
As  0.637  0.637  0.021
Mn  0.218  0.218  0.835
Mn  0.782  0.782  0.165
Mn  0.343  0.343  0.449
Mn  0.657  0.657  0.551
Mn  0.432  0.432  0.711
Mn  0.568  0.568  0.289
Mn  0.000  0.000  0.500
Mn  0.000  0.000  0.000


two) Entry from the Alexandria database: crystalline Mn4As3 at its relaxed geometry (PBE).

Calculated values
* symmetry: P6/mmm (191)

Cell lengths 5.277, 5.277, 4.819 Å; angles 90.00, 90.00, 120.00 degrees
Positions (direct):
Mn  0.000  0.000  0.255
Mn  0.000  0.000  0.745
Mn  0.667  0.333  0.500
Mn  0.333  0.667  0.500
As  0.000  0.500  0.000
As  0.500  0.500  0.000
As  0.500  0.000  0.000


The least stable of them is two).